VASP calculation (PBE-GGA) on a relaxed structure of Tb2YRh3.

Values from the calculation:
Its formation energy is -0.84 eV/atom. The calculation puts the theoretical density at 9.72 Mg/m³. The calculation puts the density of states at the Fermi level at 0.6384 states/eV per atom. As for the space-group type: No. 123. The calculation puts the volume at 20.369 A^3/atom.

Lattice parameters (Å, degrees): 3.442 3.442 10.318 90.00 90.00 90.00
Fractional positions:
Rh 0.000 0.000 0.332
Rh 0.000 0.000 0.000
Rh 0.000 0.000 0.668
Tb 0.500 0.500 0.167
Tb 0.500 0.500 0.833
Y 0.500 0.500 0.500

VASP calculation (PBE-GGA) on a relaxed structure of Ac2ThGa.

Values from the calculation:
Its formation energy is 0.18 eV/atom. The calculation puts the theoretical density at 8.70 Mg/m³. The calculation puts the density of states at the Fermi level at 1.2336 states/eV per atom. As for the space-group type: No. 166. The calculation puts the volume at 36.061 A^3/atom.

Lattice parameters (Å, degrees): 3.700 3.700 12.353 81.39 81.39 60.00
Fractional positions:
Th 0.000 0.000 0.000
Ga 0.500 0.500 0.500
Ac 0.900 0.900 0.299
Ac 0.100 0.100 0.701

no.,excess energy over the best structure of this formula in the dataset (meV per atom),final energy (eV for the cell shown),magnetic moment (μB per formula unit)
1,4,-42.831,0.00
2,291,-17.963,0.00